[1]
First-principles (PBE) data for a relaxed Ti2HgF crystal, as listed in Alexandria via LeMat-Bulk.

Cell: 4.5429 4.5429 4.5429 Å, 60.00 60.00 60.00°
Last column: nearest neighbours and their distance in Å.
Atoms (fractional coordinates):
Ti (0.7500, 0.7500, 0.7500)  4 Hg 2.78, 4 F 2.78
Hg (0.5000, 0.5000, 0.5000)  8 Ti 2.78
F (0.0000, 0.0000, 0.0000)  8 Ti 2.78
Ti (0.2500, 0.2500, 0.2500)  4 Hg 2.78, 4 F 2.78

Computed properties:
The value obtained for the total energy is -19.373 eV/cell. The distance to the lowest polymorph of the same formula comes out at 136.0 meV/atom. The density of states at the Fermi level is 6.56 states/eV per cell. The magnetization is 0.000 μB/atom.

---

[2]
First-principles (PBE) data for a relaxed Ag5PbF8 crystal, as listed in Alexandria via LeMat-Bulk.

Cell: 6.5738 6.5738 6.5738 Å, 109.07 110.27 109.07°
Last column: nearest neighbours and their distance in Å.
Atoms (fractional coordinates):
Ag (0.8096, 0.7244, 0.5900)  5 F 2.38-2.56
Ag (0.4100, 0.2196, 0.1345)  5 F 2.38-2.56
F (0.5374, 0.3187, 0.8367)  3 Ag 2.37-2.56, 1 Pb 2.55
F (0.0463, 0.1781, 0.8204)  1 Pb 2.39, 3 Ag 2.42-2.46
Pb (0.2500, 0.5000, 0.7500)  8 F 2.39-2.55
F (0.5180, 0.6813, 0.2187)  3 Ag 2.37-2.56, 1 Pb 2.55
Ag (0.9149, 0.7804, 0.1904)  5 F 2.38-2.56
F (0.1796, 0.2259, 0.3577)  1 Pb 2.39, 3 Ag 2.42-2.46
Ag (0.8655, 0.2756, 0.0851)  5 F 2.38-2.56
F (0.1633, 0.7007, 0.4820)  3 Ag 2.37-2.56, 1 Pb 2.55
Ag (0.5000, 0.0000, 0.5000)  4 F 2.37
F (0.1318, 0.7741, 0.9537)  1 Pb 2.39, 3 Ag 2.42-2.46
F (0.7813, 0.2993, 0.4626)  3 Ag 2.37-2.56, 1 Pb 2.55
F (0.6423, 0.8219, 0.8682)  1 Pb 2.39, 3 Ag 2.42-2.46

Computed properties:
The value obtained for the total energy is -51.179 eV/cell. The density of states at the Fermi level is 6.90 states/eV per cell. The magnetization is 0.000 μB/atom.

---

[3]
First-principles (PBE) data for a relaxed Ta2Fe2Pt crystal, as listed in Alexandria via LeMat-Bulk.

Cell: 7.2312 7.2312 2.8936 Å, 90.00 90.00 90.00°
Last column: nearest neighbours and their distance in Å.
Atoms (fractional coordinates):
Ta (0.3482, 0.8482, 0.0000)  6 Fe 2.56-2.57, 2 Pt 2.75
Fe (0.6403, 0.8597, 0.5000)  6 Ta 2.56-2.57
Ta (0.1518, 0.3482, 0.0000)  6 Fe 2.56-2.57, 2 Pt 2.75
Ta (0.8482, 0.6518, 0.0000)  6 Fe 2.56-2.57, 2 Pt 2.75
Fe (0.1403, 0.6403, 0.5000)  6 Ta 2.56-2.57
Fe (0.3597, 0.1403, 0.5000)  6 Ta 2.56-2.57
Pt (0.5000, 0.5000, 0.0000)  4 Ta 2.75, 2 Pt 2.89
Ta (0.6518, 0.1518, 0.0000)  6 Fe 2.56-2.57, 2 Pt 2.75
Pt (0.0000, 0.0000, 0.0000)  4 Ta 2.75, 2 Pt 2.89
Fe (0.8597, 0.3597, 0.5000)  6 Ta 2.56-2.57

Computed properties:
The value obtained for the total energy is -92.677 eV/cell. The distance to the lowest polymorph of the same formula comes out at 311.5 meV/atom. The formation energy is 0.067 eV per atom. The density of states at the Fermi level is 8.23 states/eV per cell. The magnetization is 0.000 μB/atom.